(1)
Entry from Alexandria: a relaxed structure of NiH16C4S4N8Cl2 (PBE).

```
NiH16C4S4N8Cl2
1.0
8.3005 0.1117 0.0000
-3.1706 7.6719 0.0000
-2.5650 -3.8918 6.8691
Ni H C S N Cl
1 16 4 4 8 2
Cartesian
0.0266 0.0404 0.0000
0.7843 5.3867 2.3575
2.0759 -1.0468 4.5116
4.6810 2.8185 2.3094
-1.8208 1.5214 4.5598
0.6654 3.8994 1.4318
0.7560 -1.7426 5.4374
3.1887 2.2364 1.5902
-1.7672 -0.0796 5.2789
-1.2174 3.5192 0.0698
1.1491 -3.6228 6.7993
1.3066 1.8557 2.9531
-1.3749 -1.9593 3.9160
3.3291 1.0241 6.7834
2.1933 7.3550 0.0857
1.4071 2.2908 4.6530
4.1152 6.0883 2.2161
-0.8397 5.2726 1.1184
2.6115 -2.5843 5.7507
3.1022 2.6746 3.6026
-1.3305 0.0137 3.2665
-1.3609 6.8772 1.4524
4.2917 -2.4304 5.4167
3.9605 3.3701 4.9209
-1.0298 1.0767 1.9483
0.2877 4.8158 1.6835
1.7471 -1.7283 5.1857
3.7056 2.5633 2.4099
-1.6707 0.5243 4.4593
-1.5197 4.4688 0.2966
2.1410 -3.5261 6.5726
1.8407 2.2540 3.7281
-1.2195 -1.3114 3.1410
3.8201 5.7962 0.0000
1.4321 2.1730 0.0000
```

## Properties
Space group ... I4
Crystal system ... tetragonal
Final energy ... -5.53 eV per atom



(2)
Entry from Alexandria: a relaxed structure of Hf3HgC (PBE).

```
Hf3HgC
1.0
4.7000 0.0000 3.3290
-2.3500 4.0703 3.3290
-2.3500 -4.0703 3.3290
C Hf Hg
2 6 2
Cartesian
0.0000 0.0000 2.4967
0.0000 0.0000 7.4902
2.8790 1.0513 5.8257
-0.5290 -3.0190 5.8257
-2.3500 1.9677 5.8257
2.3500 -1.9677 4.1612
0.5290 3.0190 4.1612
-2.8790 -1.0513 4.1612
0.0000 0.0000 0.0000
0.0000 0.0000 4.9935
```

## Properties
Space group ... R-3c
Formation energy ... 0.210 eV/atom
Density of states at the Fermi level ... 6.20 states/eV per cell
Relative energy among the computed polymorphs ... 719 meV/atom
Crystal system ... trigonal